The following is a DFT calculation (PBE) of a relaxed structure of La2Zn5Pd3.

Geometry as CIF:
```
data_La2Zn5Pd3
_cell_length_a 8.6604
_cell_length_b 8.6604
_cell_length_c 8.6604
_cell_angle_alpha 103.39
_cell_angle_beta 90.72
_cell_angle_gamma 139.10
_space_group_name_H-M_alt 'P 1'
_space_group_IT_number 1
loop_
_space_group_symop_operation_xyz
'x,y,z'
loop_
_atom_site_label
_atom_site_fract_x
_atom_site_fract_y
_atom_site_fract_z
La1 0.1260 0.2269 0.3530
La2 0.3740 0.7269 0.1009
La3 0.6260 0.2731 0.8991
La4 0.8740 0.7731 0.6470
Zn1 0.0326 0.7500 0.2826
Zn2 0.1418 0.8919 0.0337
Zn3 0.2500 0.7500 0.5000
Zn4 0.3582 0.3919 0.7500
Zn5 0.4674 0.7500 0.7174
Zn6 0.5326 0.2500 0.2826
Zn7 0.6418 0.6081 0.2500
Zn8 0.7500 0.2500 0.5000
Zn9 0.8582 0.1081 0.9663
Zn10 0.9674 0.2500 0.7174
Pd1 0.1104 0.6573 0.7677
Pd2 0.2500 0.2500 0.0000
Pd3 0.3896 0.1573 0.5469
Pd4 0.6104 0.8427 0.4531
Pd5 0.7500 0.7500 0.0000
Pd6 0.8896 0.3427 0.2323
```

Computed properties:
Formation energy, kJ/mol of formula units: -548
DOS at the Fermi energy, states/eV/f.u.: 5.01